1.
A plane-wave DFT calculation with SCAN was carried out for a crystal of MnSi2Sb relaxed with PBEsol.

Results
Density of states at the Fermi level: 1.81 states/eV per cell
Raw formation energy: 0.48 eV per atom

a = 3.5451 Å, b = 4.4035 Å, c = 4.4035 Å
α = 90.00°, β = 90.00°, γ = 90.00°
Atoms (fractional coordinates):
1 Si 0.0000 0.0000 0.5000
2 Si 0.0000 0.5000 0.0000
3 Sb 0.5000 0.0000 0.0000
4 Mn 0.5000 0.5000 0.5000

2.
A plane-wave DFT calculation with SCAN was carried out for a crystal of AlTlHg2 relaxed with PBEsol.

Results
Energy of formation from the pure elements: 32 kJ/mol of formula units
Density of states at the Fermi level: 1.60 states/eV per cell

a = 3.3498 Å, b = 3.3498 Å, c = 8.1067 Å
α = 90.00°, β = 90.00°, γ = 90.00°
Atoms (fractional coordinates):
1 Tl 0.5000 0.5000 0.0000
2 Hg 0.0000 0.0000 0.2885
3 Hg 0.0000 0.0000 0.7115
4 Al 0.5000 0.5000 0.5000

3.
A plane-wave DFT calculation with SCAN was carried out for a crystal of Li3GaCl relaxed with PBEsol.

Results
Raw formation energy: -0.22 eV per atom
ΔE to the lowest computed polymorph: 0.405 eV/atom

a = 5.0272 Å, b = 5.0272 Å, c = 5.0272 Å
α = 90.00°, β = 90.00°, γ = 90.00°
Atoms (fractional coordinates):
1 Li 0.0000 0.5000 0.0000
2 Cl 0.5000 0.5000 0.5000
3 Li 0.5000 0.0000 0.0000
4 Li 0.0000 0.0000 0.5000
5 Ga 0.0000 0.0000 0.0000

4.
A plane-wave DFT calculation with SCAN was carried out for a crystal of ZnTc2GeRh relaxed with PBEsol.

Results
Energy of formation from the pure elements: 759 kJ/mol of formula units
Density of states at the Fermi level: 4.01 states/eV per cell

a = 4.2631 Å, b = 4.4752 Å, c = 4.4752 Å
α = 90.00°, β = 90.00°, γ = 90.00°
Atoms (fractional coordinates):
1 Tc 0.0000 0.0000 0.5000
2 Ge 0.5000 0.0000 0.0000
3 Tc 0.0000 0.5000 0.0000
4 Rh 0.5000 0.5000 0.5000
5 Zn 0.0000 0.0000 0.0000

5.
A plane-wave DFT calculation with SCAN was carried out for a crystal of NbSb2IO relaxed with PBEsol.

Results
Density of states at the Fermi level: 6.08 states/eV per cell
Raw formation energy: 0.75 eV per atom

a = 5.3625 Å, b = 5.2798 Å, c = 5.2798 Å
α = 90.00°, β = 90.00°, γ = 90.00°
Atoms (fractional coordinates):
1 I 0.5000 0.0000 0.0000
2 Nb 0.0000 0.0000 0.0000
3 O 0.5000 0.5000 0.5000
4 Sb 0.0000 0.5000 0.0000
5 Sb 0.0000 0.0000 0.5000

6.
A plane-wave DFT calculation with SCAN was carried out for a crystal of Y5Cd3 relaxed with PBEsol.

Results
Energy of formation from the pure elements: -242 kJ/mol of formula units
Density of states at the Fermi level: 14.40 states/eV per cell
ΔE to the lowest computed polymorph: 0.016 eV/atom

a = 5.9767 Å, b = 9.1081 Å, c = 9.1081 Å
α = 120.00°, β = 90.00°, γ = 90.00°
Atoms (fractional coordinates):
1 Cd 0.7500 0.5974 0.0000
2 Y 0.2500 0.0000 0.7638
3 Y 0.2500 0.7638 0.0000
4 Y 0.7500 0.2362 0.0000
5 Y 0.7500 0.0000 0.2362
6 Y 0.2500 0.2362 0.2362
7 Cd 0.2500 0.4026 0.0000
8 Y 0.0000 0.6667 0.3333
9 Y 0.5000 0.3333 0.6667
10 Y 0.0000 0.3333 0.6667
11 Cd 0.7500 0.0000 0.5974
12 Cd 0.7500 0.4026 0.4026
13 Cd 0.2500 0.0000 0.4026
14 Y 0.5000 0.6667 0.3333
15 Y 0.7500 0.7638 0.7638
16 Cd 0.2500 0.5974 0.5974

7.
A plane-wave DFT calculation with SCAN was carried out for a crystal of TcNiIr2 relaxed with PBEsol.

Results
Energy of formation from the pure elements: -52 kJ/mol of formula units
Density of states at the Fermi level: 4.01 states/eV per cell
ΔE to the lowest computed polymorph: 0.026 eV/atom

a = 2.6849 Å, b = 2.6849 Å, c = 7.3036 Å
α = 90.00°, β = 90.00°, γ = 90.00°
Atoms (fractional coordinates):
1 Ir 0.0000 0.0000 0.2438
2 Ni 0.5000 0.5000 0.0000
3 Ir 0.0000 0.0000 0.7562
4 Tc 0.5000 0.5000 0.5000

8.
A plane-wave DFT calculation with SCAN was carried out for a crystal of NiAgP2 relaxed with PBEsol.

Results
Energy of formation from the pure elements: 172 kJ/mol of formula units
Density of states at the Fermi level: 1.51 states/eV per cell
ΔE to the lowest computed polymorph: 0.000 eV/atom

a = 3.1977 Å, b = 4.2131 Å, c = 4.2131 Å
α = 101.59°, β = 90.00°, γ = 90.00°
Atoms (fractional coordinates):
1 Ni 0.5000 0.0000 0.0000
2 Ag 0.5000 0.5000 0.5000
3 P 0.0000 0.5000 0.0000
4 P 0.0000 0.0000 0.5000

9.
A plane-wave DFT calculation with SCAN was carried out for a crystal of Li2IrRh relaxed with PBEsol.

Results
Energy of formation from the pure elements: -67 kJ/mol of formula units
Density of states at the Fermi level: 2.65 states/eV per cell
ΔE to the lowest computed polymorph: 0.103 eV/atom

a = 2.6394 Å, b = 4.0702 Å, c = 5.0848 Å
α = 90.00°, β = 90.00°, γ = 90.00°
Atoms (fractional coordinates):
1 Li 0.0000 0.0000 0.0193
2 Li 0.5000 0.5000 0.2274
3 Rh 0.0000 0.0000 0.5408
4 Ir 0.5000 0.5000 0.7125

10.
A plane-wave DFT calculation with SCAN was carried out for a crystal of AlPbW2 relaxed with PBEsol.

Results
Energy of formation from the pure elements: 229 kJ/mol of formula units
Density of states at the Fermi level: 1.65 states/eV per cell
ΔE to the lowest computed polymorph: 0.000 eV/atom

a = 3.2510 Å, b = 4.9016 Å, c = 4.8980 Å
α = 97.17°, β = 90.00°, γ = 109.37°
Atoms (fractional coordinates):
1 Al 0.0000 0.0000 0.5000
2 Pb 0.5000 0.0000 0.0000
3 W 0.7464 0.4928 0.6965
4 W 0.2536 0.5072 0.3035

11.
A plane-wave DFT calculation with SCAN was carried out for a crystal of YCuOs relaxed with PBEsol.

Results
Energy of formation from the pure elements: 105 kJ/mol of formula units
Density of states at the Fermi level: 3.75 states/eV per cell
ΔE to the lowest computed polymorph: 0.000 eV/atom

a = 4.2951 Å, b = 4.2951 Å, c = 4.2951 Å
α = 60.00°, β = 60.00°, γ = 60.00°
Atoms (fractional coordinates):
1 Y 0.5000 0.5000 0.5000
2 Cu 0.2500 0.2500 0.2500
3 Os 0.0000 0.0000 0.0000

12.
A plane-wave DFT calculation with SCAN was carried out for a crystal of SrMg2Tc relaxed with PBEsol.

Results
Energy of formation from the pure elements: 168 kJ/mol of formula units
Density of states at the Fermi level: 3.27 states/eV per cell
ΔE to the lowest computed polymorph: 0.000 eV/atom

a = 3.4750 Å, b = 3.4750 Å, c = 7.8493 Å
α = 90.00°, β = 90.00°, γ = 90.00°
Atoms (fractional coordinates):
1 Tc 0.5000 0.5000 0.8126
2 Mg 0.5000 0.5000 0.1840
3 Mg 0.0000 0.0000 0.9582
4 Sr 0.0000 0.0000 0.5453

What did the eighth record say?
A plane-wave DFT calculation with SCAN was carried out for a crystal of NiAgP2 relaxed with PBEsol.

Results
Energy of formation from the pure elements: 172 kJ/mol of formula units
Density of states at the Fermi level: 1.51 states/eV per cell
ΔE to the lowest computed polymorph: 0.000 eV/atom

a = 3.1977 Å, b = 4.2131 Å, c = 4.2131 Å
α = 101.59°, β = 90.00°, γ = 90.00°
Atoms (fractional coordinates):
1 Ni 0.5000 0.0000 0.0000
2 Ag 0.5000 0.5000 0.5000
3 P 0.0000 0.5000 0.0000
4 P 0.0000 0.0000 0.5000

Which formula does entry 2 have? AlTlHg2